Material: BPOsRh2
Method: DFT, PBE
State: relaxed

abc: 4.000 4.158 4.000
angles: 90.00 90.00 90.00
Fractional coordinates of all 5 atoms:
Rh (0.000, 0.000, 0.500)
Rh (0.500, 0.000, 0.000)
Os (0.500, 0.500, 0.500)
P (0.000, 0.500, 0.000)
B (0.000, 0.000, 0.000)

Computed properties:
* relative energy among the computed polymorphs: 308 meV per atom
* formation energy: 327 kJ/mol of formula units
* volume: 67 Å³ per cell
* magnetic moment: 0.0 μB per formula unit

---

Material: RbZrSN2
Method: DFT, PBE
State: relaxed

abc: 4.177 4.177 5.543
angles: 90.00 90.00 90.00
Each line ends with the local moment (μB).
Fractional coordinates of all 5 atoms:
Zr (0.500, 0.500, 0.500)  -0.46
S (0.000, 0.000, 0.500)  0.03
Rb (0.000, 0.000, 0.000)  0.12
N (0.000, 0.500, 0.000)  0.61
N (0.500, 0.000, 0.000)  0.61

Computed properties:
* relative energy among the computed polymorphs: 2163 meV per atom
* volume: 97 Å³ per cell
* magnetic moment: 1.1 μB per formula unit
* formation energy without anion corrections: 2.059 eV/atom

---

Material: Tb4Pm3Tm5
Method: DFT, PBE
State: relaxed

abc: 5.891 8.480 9.621
angles: 105.67 72.17 69.67
Each line ends with the local moment (μB).
Fractional coordinates of all 12 atoms:
Tb (0.830, 0.961, 0.379)  0.00
Tb (0.170, 0.039, 0.621)  0.00
Tb (0.860, 0.222, 0.057)  0.00
Tb (0.140, 0.778, 0.943)  0.00
Tm (0.785, 0.543, 0.887)  0.00
Tm (0.375, 0.053, 0.197)  0.01
Tm (0.500, 0.500, 0.500)  0.07
Tm (0.215, 0.457, 0.113)  0.00
Tm (0.625, 0.947, 0.803)  0.01
Pm (0.524, 0.685, 0.266)  0.00
Pm (0.000, 0.500, 0.500)  0.06
Pm (0.476, 0.315, 0.734)  0.00

Computed properties:
* relative energy among the computed polymorphs: 218 meV per atom
* formation energy: 274 kJ/mol of formula units
* volume: 389 Å³ per cell
* magnetic moment: 0.2 μB per formula unit

---

Material: NdTm12Sn6
Method: DFT, PBE
State: relaxed

abc: 8.737 8.737 8.737
angles: 104.06 104.06 104.06
Fractional coordinates of all 19 atoms:
Tm (0.176, 0.438, 0.438)
Tm (0.500, 0.127, 0.873)
Tm (0.562, 0.824, 0.562)
Tm (0.824, 0.562, 0.562)
Tm (0.438, 0.438, 0.176)
Tm (0.873, 0.500, 0.127)
Tm (0.127, 0.500, 0.873)
Tm (0.562, 0.562, 0.824)
Tm (0.873, 0.127, 0.500)
Tm (0.127, 0.873, 0.500)
Tm (0.438, 0.176, 0.438)
Tm (0.500, 0.873, 0.127)
Sn (0.305, 0.757, 0.757)
Sn (0.695, 0.243, 0.243)
Sn (0.757, 0.305, 0.757)
Sn (0.243, 0.695, 0.243)
Sn (0.757, 0.757, 0.305)
Sn (0.243, 0.243, 0.695)
Nd (0.000, 0.000, 0.000)

Computed properties:
* formation energy: -553 kJ/mol of formula units
* volume: 594 Å³ per cell
* magnetic moment: 0.0 μB per formula unit

---

Material: SrHg2As
Method: DFT, PBE
State: relaxed

abc: 5.339 5.339 5.339
angles: 60.00 60.00 60.00
Fractional coordinates of all 4 atoms:
Hg (0.000, 0.000, 0.000)
Hg (0.250, 0.250, 0.250)
As (0.500, 0.500, 0.500)
Sr (0.750, 0.750, 0.750)

Computed properties:
* formation energy: -154 kJ/mol of formula units
* volume: 108 Å³ per cell
* magnetic moment: 0.0 μB per formula unit

---

Material: Th2Tl2Cd
Method: DFT, PBE
State: relaxed

abc: 4.920 6.651 9.169
angles: 90.00 105.56 90.00
Fractional coordinates of all 10 atoms:
Cd (0.393, 0.068, 0.786)
Cd (0.607, 0.568, 0.214)
Th (0.199, 0.858, 0.398)
Th (0.009, 0.298, 0.018)
Th (0.991, 0.798, 0.982)
Th (0.801, 0.358, 0.602)
Tl (0.408, 0.545, 0.816)
Tl (0.812, 0.866, 0.624)
Tl (0.592, 0.045, 0.184)
Tl (0.188, 0.366, 0.376)

Computed properties:
* relative energy among the computed polymorphs: 34 meV per atom
* formation energy: -29 kJ/mol of formula units
* volume: 289 Å³ per cell
* magnetic moment: 0.0 μB per formula unit

---

Material: MgSb2P
Method: DFT, PBE
State: relaxed

abc: 3.421 3.421 7.969
angles: 90.00 90.00 89.99
Fractional coordinates of all 4 atoms:
Sb (0.500, 0.500, 0.283)
Sb (0.000, 0.000, 0.926)
Mg (0.000, 0.000, 0.540)
P (0.500, 0.500, 0.750)

Computed properties:
* relative energy among the computed polymorphs: 137 meV per atom
* volume: 93 Å³ per cell
* magnetic moment: 0.0 μB per formula unit
* formation energy without anion corrections: 0.083 eV/atom

---

Material: ScH6Pd8
Method: DFT, PBE
State: relaxed

abc: 2.934 7.939 7.939
angles: 120.00 90.00 90.00
Fractional coordinates of all 15 atoms:
Sc (0.500, 0.000, 0.000)
Pd (0.801, 0.666, 0.980)
Pd (0.383, 0.333, 0.667)
Pd (0.801, 0.314, 0.334)
Pd (0.801, 0.020, 0.686)
Pd (0.199, 0.980, 0.314)
Pd (0.199, 0.686, 0.666)
Pd (0.617, 0.667, 0.333)
Pd (0.199, 0.334, 0.020)
H (0.697, 0.291, 0.850)
H (0.303, 0.850, 0.559)
H (0.303, 0.441, 0.291)
H (0.697, 0.150, 0.441)
H (0.697, 0.559, 0.709)
H (0.303, 0.709, 0.150)

Computed properties:
* relative energy among the computed polymorphs: 67 meV per atom
* volume: 160 Å³ per cell
* magnetic moment: 0.0 μB per formula unit

---

What is the magnetic moment in the eighth record?
0.0 μB per formula unit

---

Which formula does entry 8 have?
ScH6Pd8

---

magnetic moment of number 5 (SrHg2As)?
0.0 μB per formula unit